Entry from Alexandria: an optimized crystal structure of La3TbSm2P6 (PBE).

Cell: 7.237 12.534 7.241 Å, 90.00 109.45 90.00°
Space group C2/m (No. 12)
Unique sites:
La (0.000, 0.000, 0.000)
La (0.000, 0.333, 0.000)
Tb (0.000, 0.500, 0.500)
Sm (0.000, 0.166, 0.500)
P (0.245, 0.335, 0.740)
P (0.250, 0.000, 0.741)

Results
Volume ... 25.803 Å³ per atom
Mass density ... 5.70 g/cm³
Calculated formation energy ... -1573 meV/atom
Total DFT energy (no corrections) ... -160.37 eV for the cell shown